The following is a DFT calculation (PBE) of ZrTlH after structural relaxation.

The structure in POSCAR format:
```
ZrTlH
1.0
-2.644 3.469 2.740
2.644 -3.469 2.740
2.644 3.469 -2.740
Zr Tl H
2 2 2
Cartesian
0.000 1.735 0.089
2.644 1.735 2.651
2.644 0.000 0.000
0.000 0.000 2.740
1.322 1.735 -1.370
1.322 -1.735 1.370
```

Summary:
N(E_F) = 0.453 states/eV per atom
energy above the lowest structure with this stoichiometry = 327 meV per atom